The following is a GGA-PBE calculation of a relaxed GeSbS3 crystal, from Alexandria.

```
data_GeSbS3
_cell_length_a 7.044
_cell_length_b 9.265
_cell_length_c 8.245
_cell_angle_alpha 90.00
_cell_angle_beta 90.00
_cell_angle_gamma 90.00
_space_group_name_H-M_alt 'I m a 2'
_space_group_IT_number 46
_space_group_name_Hall 'I 2 -2a'
loop_
_atom_site_label
_atom_site_type_symbol
_atom_site_fract_x
_atom_site_fract_y
_atom_site_fract_z
Ge1 Ge 0.250 0.110 0.000
Sb1 Sb 0.250 0.715 0.230
S1 S 0.010 0.724 0.958
S2 S 0.250 0.049 0.727
```

Values from the calculation:
- ΔE to the lowest computed polymorph: 90.9 meV per atom
- Total DFT energy (no corrections): -4.27 eV per atom
- Formation energy from raw total energies: -47.9 meV/atom
- Total magnetization: 0.0 μB per cell
- ρ: 3.59 g/cm3